A relaxed Ca2GaNiSb crystal, computed with PBE-GGA.

Cell and atoms, written as POSCAR:
```
Ca2GaNiSb
1.0
5.8882 0.0000 0.0000
0.0000 5.8882 0.0000
0.0000 0.0000 4.6764
Ca Ga Ni Sb
2 1 1 1
Direct
0.0000 0.5000 0.0000
0.5000 0.0000 0.0000
0.0000 0.0000 0.5000
0.5000 0.5000 0.5000
0.5000 0.5000 0.0000
```

Summary:
- Formation energy from raw total energies: 0.04 eV per atom
- VASP energy: -16.7 eV/cell
- Space group: No. 123

***

A relaxed LaMn2ZnGe crystal, computed with PBE-GGA.

Cell and atoms, written as POSCAR:
```
LaMn2ZnGe
1.0
4.9105 0.0000 0.0000
0.0000 4.9105 0.0000
0.0000 0.0000 5.4714
La Mn Zn Ge
1 2 1 1
Direct
0.0000 0.0000 0.0000
0.0000 0.5000 0.0000
0.5000 0.0000 0.0000
0.0000 0.0000 0.5000
0.5000 0.5000 0.5000
```

Summary:
- VASP energy: -21.6 eV/cell
- Space group: No. 123
- Formation energy: 7.5 eV per formula unit

***

A relaxed KMg2SiRh crystal, computed with PBE-GGA.

Cell and atoms, written as POSCAR:
```
KMg2SiRh
1.0
5.1230 0.0000 0.0000
0.0000 5.1230 0.0000
0.0000 0.0000 4.6106
K Mg Si Rh
1 2 1 1
Direct
0.0000 0.0000 0.0000
0.0000 0.5000 0.5000
0.5000 0.0000 0.5000
0.5000 0.5000 0.0000
0.5000 0.5000 0.5000
```

Summary:
- Formation energy from raw total energies: -0.23 eV per atom
- VASP energy: -18.2 eV/cell
- Space group: No. 123

***

A relaxed Cs2CaAgI5 crystal, computed with PBE-GGA.

Cell and atoms, written as POSCAR:
```
Cs2CaAgI5
1.0
2.4098 -11.3704 0.0000
2.4098 11.3704 0.0000
0.0000 0.0000 15.5595
Cs Ca Ag I
4 2 2 10
Direct
0.1176 0.8824 0.5000
0.1241 0.8759 0.1248
0.8759 0.1241 0.6248
0.8824 0.1176 0.0000
0.2046 0.7954 0.8272
0.7954 0.2046 0.3272
0.4318 0.5682 0.2475
0.5682 0.4318 0.7475
0.0663 0.9337 0.8482
0.2902 0.7098 0.4628
0.3037 0.6963 0.1883
0.3407 0.6593 0.8141
0.4956 0.5044 0.0940
0.5044 0.4956 0.5940
0.6593 0.3407 0.3141
0.6963 0.3037 0.6883
0.7098 0.2902 0.9628
0.9337 0.0663 0.3482
```

Summary:
- Formation energy from raw total energies: -1.30 eV per atom
- VASP energy: -52.0 eV/cell
- Space group: No. 36

***

A relaxed Ca2Sm4Sn3O2 crystal, computed with PBE-GGA.

Cell and atoms, written as POSCAR:
```
Ca2Sm4Sn3O2
1.0
-2.4170 2.4170 12.5978
2.4170 -2.4170 12.5978
2.4170 2.4170 -12.5978
Ca Sm Sn O
2 4 3 2
Direct
0.1965 0.1965 0.0000
0.8035 0.8035 0.0000
0.0866 0.5866 0.5000
0.4134 0.9134 0.5000
0.5866 0.0866 0.5000
0.9134 0.4134 0.5000
0.3261 0.3261 0.0000
0.5000 0.5000 0.0000
0.6739 0.6739 0.0000
0.0983 0.0983 0.0000
0.9017 0.9017 0.0000
```

Summary:
- Formation energy from raw total energies: -1.49 eV per atom
- VASP energy: -61.2 eV/cell
- Space group: No. 139

***

A relaxed YCdIn crystal, computed with PBE-GGA.

Cell and atoms, written as POSCAR:
```
YCdIn
1.0
0.0000 3.5770 3.5770
3.5770 0.0000 3.5770
3.5770 3.5770 0.0000
Y Cd In
1 1 1
Direct
0.0000 0.0000 0.0000
0.7500 0.7500 0.7500
0.2500 0.2500 0.2500
```

Summary:
- VASP energy: -10.0 eV/cell
- Space group: No. 216
- Formation energy: 0.1 eV per formula unit

***

A relaxed CsKSr2Li crystal, computed with PBE-GGA.

Cell and atoms, written as POSCAR:
```
CsKSr2Li
1.0
6.7259 0.0000 0.0000
0.0000 6.7259 0.0000
0.0000 0.0000 7.0690
Cs K Sr Li
1 1 2 1
Direct
0.0000 0.0000 0.0000
0.5000 0.5000 0.0000
0.0000 0.5000 0.5000
0.5000 0.0000 0.5000
0.5000 0.5000 0.5000
```

Summary:
- VASP energy: -6.3 eV/cell
- Space group: No. 123
- Formation energy: 0.9 eV per formula unit

***

A relaxed TaAgPS2 crystal, computed with PBE-GGA.

Cell and atoms, written as POSCAR:
```
TaAgPS2
1.0
4.7725 0.0000 0.0000
0.0000 4.7725 0.0000
0.0000 0.0000 4.9008
Ta Ag P S
1 1 1 2
Direct
0.0000 0.0000 0.0000
0.5000 0.5000 0.5000
0.0000 0.0000 0.5000
0.0000 0.5000 0.0000
0.5000 0.0000 0.0000
```

Summary:
- Formation energy from raw total energies: 0.05 eV per atom
- VASP energy: -28.1 eV/cell
- Space group: No. 123
- Excess energy over the best structure of this formula in the dataset: 0.00 eV/f.u.

***

A relaxed ErTh6 crystal, computed with PBE-GGA.

Cell and atoms, written as POSCAR:
```
ErTh6
1.0
6.6300 0.0000 0.0000
0.0000 6.6300 0.0000
0.0000 0.0000 10.8750
Er Th
2 12
Direct
0.2500 0.7500 0.0000
0.7500 0.2500 0.0000
0.0719 0.5719 0.3569
0.0719 0.9281 0.6431
0.2500 0.2500 0.1456
0.2500 0.2500 0.8544
0.4281 0.5719 0.6431
0.4281 0.9281 0.3569
0.5719 0.0719 0.6431
0.5719 0.4281 0.3569
0.7500 0.7500 0.1456
0.7500 0.7500 0.8544
0.9281 0.0719 0.3569
0.9281 0.4281 0.6431
```

Summary:
- VASP energy: -92.4 eV/cell
- Space group: No. 125
- Formation energy: 2.9 eV per formula unit

***

A relaxed CeTmThSc crystal, computed with PBE-GGA.

Cell and atoms, written as POSCAR:
```
CeTmThSc
1.0
0.0000 3.8888 3.8888
3.8888 0.0000 3.8888
3.8888 3.8888 0.0000
Ce Tm Th Sc
1 1 1 1
Direct
0.0000 0.0000 0.0000
0.7500 0.7500 0.7500
0.2500 0.2500 0.2500
0.5000 0.5000 0.5000
```

Summary:
- VASP energy: -23.4 eV/cell
- Space group: No. 216
- Excess energy over the best structure of this formula in the dataset: 0.64 eV/f.u.
- Formation energy: 0.8 eV per formula unit

***

A relaxed CoNi4Ir crystal, computed with PBE-GGA.

Cell and atoms, written as POSCAR:
```
CoNi4Ir
1.0
4.7979 0.0000 0.0000
0.0000 4.7979 0.0000
0.0000 0.0000 6.6352
Co Ni Ir
2 8 2
Direct
0.0000 0.0000 0.0000
0.0000 0.0000 0.5000
0.2287 0.3987 0.4027
0.2287 0.6013 0.0973
0.3987 0.2287 0.9027
0.3987 0.7713 0.5973
0.6013 0.2287 0.5973
0.6013 0.7713 0.9027
0.7713 0.3987 0.0973
0.7713 0.6013 0.4027
0.0000 0.5000 0.7500
0.5000 0.0000 0.2500
```

Summary:
- VASP energy: -72.9 eV/cell
- Space group: No. 112
- Excess energy over the best structure of this formula in the dataset: 2.55 eV/f.u.
- Formation energy: 2.7 eV per formula unit

***

A relaxed MgTlW2 crystal, computed with PBE-GGA.

Cell and atoms, written as POSCAR:
```
MgTlW2
1.0
1.4783 0.8535 9.7875
-1.4783 0.8535 9.7875
0.0000 -1.7070 9.7875
Mg Tl W
1 1 2
Direct
0.0000 0.0000 0.0000
0.5000 0.5000 0.5000
0.2508 0.2508 0.2508
0.7492 0.7492 0.7492
```

Summary:
- VASP energy: -26.4 eV/cell
- Space group: No. 166
- Excess energy over the best structure of this formula in the dataset: 1.65 eV/f.u.
- Formation energy: 3.5 eV per formula unit

***

| no. | total magnetic moment (μB per cell) |
| --- | --- |
| 1 | 0.00 |
| 2 | 6.45 |
| 3 | 0.00 |
| 4 | 0.00 |
| 5 | 0.00 |
| 6 | 0.00 |
| 7 | 0.00 |
| 8 | 0.00 |
| 9 | 0.00 |
| 10 | 1.58 |
| 11 | 11.02 |
| 12 | 0.00 |